Entry 1:
Pr3Ga4Au7: relaxed, GGA-PBE.

Space group ... C2/m
Spin magnetization ... 0.000 μB per cell
Crystal system ... monoclinic
Formation energy ... -0.638 eV/atom
VASP energy ... -4.17 eV/atom

Cell: 4.4990 8.6067 8.6802 Å, 66.87 74.98 74.85°
With the nearest neighbours (Å) after each atom.
Positions (direct):
Ga  0.6736  0.4605  0.1923  5 Au 2.58-2.73
Ga  0.3264  0.5395  0.8077  5 Au 2.58-2.73
Ga  0.1293  0.0874  0.6539  6 Au 2.73-2.88
Ga  0.8707  0.9126  0.3461  6 Au 2.73-2.88
Pr  0.3146  0.1890  0.1819  5 Ga 3.17-3.46, 10 Au 3.22-3.49
Pr  0.0000  0.5000  0.5000  10 Au 3.19-3.56, 6 Ga 3.21-3.52
Pr  0.6854  0.8110  0.8181  5 Ga 3.17-3.46, 10 Au 3.22-3.49
Au  0.1406  0.6240  0.0947  3 Ga 2.61-2.73
Au  0.4980  0.2261  0.7780  3 Ga 2.70-2.88, 3 Au 2.81-2.95
Au  0.6780  0.1850  0.4589  4 Ga 2.58-2.74, 1 Au 2.81
Au  0.0000  0.0000  0.0000  2 Ga 2.73, 2 Au 2.94
Au  0.8594  0.3760  0.9053  3 Ga 2.61-2.73
Au  0.5020  0.7739  0.2220  3 Ga 2.70-2.88, 3 Au 2.81-2.95
Au  0.3220  0.8150  0.5411  4 Ga 2.58-2.74, 1 Au 2.81

---

Entry 2:
CaCrI2: relaxed, GGA-PBE.

Formation energy without anion corrections ... -25.7 kJ per mole of atoms
Space group ... Fm-3m
Offset from the most stable computed form ... 0.0000 eV per atom
Spin magnetization ... 5.798 μB per cell
Crystal system ... cubic
VASP energy ... -3.95 eV/atom

Cell: 5.5482 5.5482 5.5482 Å, 60.00 60.00 60.00°
With the nearest neighbours (Å) after each atom.
Positions (direct):
Ca  0.0000  0.0000  0.0000  8 I 3.40
Cr  0.5000  0.5000  0.5000  8 I 3.40
I  0.7500  0.7500  0.7500  4 Cr 3.40, 4 Ca 3.40
I  0.2500  0.2500  0.2500  4 Cr 3.40, 4 Ca 3.40

---

Entry 3:
Li3ReN4: relaxed, GGA-PBE.

Formation energy without anion corrections ... -14.0 kJ per mole of atoms
Space group ... C2
Spin magnetization ... 0.000 μB per cell
Crystal system ... monoclinic
VASP energy ... -6.58 eV/atom

Cell: 3.1313 5.9290 5.9290 Å, 59.56 77.45 77.45°
With the nearest neighbours (Å) after each atom.
Positions (direct):
N  0.7252  0.6039  0.1077  1 Re 1.79
N  0.4772  0.1756  0.7047  1 N 1.28
N  0.5228  0.2953  0.8244  1 N 1.28
N  0.2748  0.8923  0.3961  1 Re 1.79
Li  0.2794  0.3151  0.1713  4 N 2.09-2.28
Li  0.7206  0.8287  0.6849  4 N 2.09-2.28
Li  0.0000  0.9650  0.0350  4 N 2.17-2.28
Re  0.5000  0.5751  0.4249  2 N 1.79

---

Entry 4:
Np2CdBi: relaxed, GGA-PBE.

Space group ... P4/mmm
Spin magnetization ... 9.259 μB per cell
Crystal system ... tetragonal
Formation energy ... 0.216 eV/atom
VASP energy ... -7.45 eV/atom

Cell: 4.8546 4.6245 4.6245 Å, 90.00 90.00 90.00°
With the nearest neighbours (Å) after each atom.
Positions (direct):
Np  0.0000  0.5000  0.0000  4 Np 3.27, 4 Bi 3.35, 4 Cd 3.35
Np  0.0000  0.0000  0.5000  4 Np 3.27, 4 Cd 3.35, 4 Bi 3.35
Cd  0.5000  0.5000  0.5000  4 Bi 3.27, 8 Np 3.35
Bi  0.5000  0.0000  0.0000  4 Cd 3.27, 8 Np 3.35

---

Entry 5:
Tb6SmY5: relaxed, GGA-PBE.

Space group ... C2/m
Spin magnetization ... 0.000 μB per cell
Crystal system ... monoclinic
Formation energy ... 0.017 eV/atom
VASP energy ... -5.38 eV/atom

Cell: 11.8312 6.1866 6.1823 Å, 59.98 85.03 80.03°
With the nearest neighbours (Å) after each atom.
Positions (direct):
Y  0.5000  0.5000  0.0000  6 Tb 3.56, 6 Y 3.57
Y  0.0000  0.3333  0.3334  3 Sm 3.57, 3 Y 3.57, 6 Tb 3.57-3.58
Y  0.0000  0.6667  0.6666  3 Sm 3.57, 3 Y 3.57, 6 Tb 3.57-3.58
Y  0.5000  0.8331  0.3337  6 Tb 3.56-3.57, 6 Y 3.57
Y  0.5000  0.1669  0.6663  6 Tb 3.56-3.57, 6 Y 3.57
Tb  0.2506  0.9169  0.6670  5 Y 3.56-3.58, 6 Tb 3.57, 1 Sm 3.57
Tb  0.7496  0.7501  0.0000  5 Y 3.56-3.57, 6 Tb 3.57, 1 Sm 3.57
Tb  0.7494  0.4161  0.6670  5 Y 3.56-3.58, 6 Tb 3.57, 1 Sm 3.57
Tb  0.2506  0.5839  0.3330  5 Y 3.56-3.58, 6 Tb 3.57, 1 Sm 3.57
Tb  0.7494  0.0831  0.3330  5 Y 3.56-3.58, 6 Tb 3.57, 1 Sm 3.57
Tb  0.2504  0.2499  0.0000  5 Y 3.56-3.57, 6 Tb 3.57, 1 Sm 3.57
Sm  0.0000  0.0000  0.0000  6 Y 3.57, 6 Tb 3.57

---

Entry 6:
Pm4Ho5Cd: relaxed, GGA-PBE.

Space group ... I4mm
Offset from the most stable computed form ... 0.1595 eV per atom
Spin magnetization ... 0.000 μB per cell
Crystal system ... tetragonal
Formation energy ... 0.111 eV/atom
VASP energy ... -4.17 eV/atom

Cell: 5.7408 8.0950 8.0950 Å, 82.78 69.23 69.23°
With the nearest neighbours (Å) after each atom.
Positions (direct):
Ho  0.1387  0.0000  0.6325  1 Cd 3.05, 1 Ho 3.27, 2 Pm 3.39
Ho  0.7712  0.0000  0.3675  1 Cd 3.05, 1 Ho 3.27, 2 Pm 3.39
Ho  0.1387  0.6325  0.0000  1 Cd 3.05, 1 Ho 3.27, 2 Pm 3.39
Ho  0.7712  0.3675  0.0000  1 Cd 3.05, 1 Ho 3.27, 2 Pm 3.39
Ho  0.6563  0.0000  0.0000  2 Cd 2.77-2.98
Pm  0.1476  0.3173  0.3173  5 Ho 3.39-3.72, 1 Cd 3.78
Pm  0.4649  0.6827  0.3173  5 Ho 3.39-3.72, 1 Cd 3.78
Pm  0.4649  0.3173  0.6827  5 Ho 3.39-3.72, 1 Cd 3.78
Pm  0.7822  0.6827  0.6827  5 Ho 3.39-3.72, 1 Cd 3.78
Cd  0.1746  0.0000  0.0000  6 Ho 2.77-3.05

---

Entry 7:
Cs2WSe: relaxed, GGA-PBE.

Formation energy without anion corrections ... 108.9 kJ per mole of atoms
Space group ... Fm-3m
Offset from the most stable computed form ... 0.0000 eV per atom
Spin magnetization ... 5.975 μB per cell
Crystal system ... cubic
VASP energy ... -3.41 eV/atom

Cell: 6.0862 6.0862 6.0862 Å, 60.00 60.00 60.00°
With the nearest neighbours (Å) after each atom.
Positions (direct):
W  0.5000  0.5000  0.5000  8 Cs 3.73
Cs  0.2500  0.2500  0.2500  4 W 3.73, 4 Se 3.73
Cs  0.7500  0.7500  0.7500  4 Se 3.73, 4 W 3.73
Se  0.0000  0.0000  0.0000  8 Cs 3.73

---

Entry 8:
AlSI2N: relaxed, GGA-PBE.

Formation energy without anion corrections ... 70.9 kJ per mole of atoms
Space group ... P4/mmm
Offset from the most stable computed form ... 0.1497 eV per atom
Spin magnetization ... 0.000 μB per cell
Crystal system ... tetragonal
VASP energy ... -3.12 eV/atom

Cell: 6.3395 6.3395 3.3747 Å, 90.00 90.00 90.00°
With the nearest neighbours (Å) after each atom.
Positions (direct):
I  0.5000  0.0000  0.0000  2 S 3.17, 2 I 3.37
I  0.0000  0.5000  0.0000  2 S 3.17, 2 I 3.37
Al  0.5000  0.5000  0.5000  2 Al 3.37, 8 I 3.59
N  0.0000  0.0000  0.5000  2 S 1.69
S  0.0000  0.0000  0.0000  2 N 1.69

---

Entry 9:
RbNbGeTe2: relaxed, GGA-PBE.

Formation energy without anion corrections ... -21.7 kJ per mole of atoms
Space group ... P4/mmm
Spin magnetization ... 0.000 μB per cell
Crystal system ... tetragonal
VASP energy ... -4.61 eV/atom

Cell: 5.5858 5.1189 5.5858 Å, 90.00 90.00 90.00°
With the nearest neighbours (Å) after each atom.
Positions (direct):
Ge  0.0000  0.5000  0.0000  2 Nb 2.56
Te  0.5000  0.0000  0.0000  2 Nb 2.79
Te  0.0000  0.0000  0.5000  2 Nb 2.79
Rb  0.5000  0.5000  0.5000  8 Te 3.79, 4 Ge 3.95
Nb  0.0000  0.0000  0.0000  2 Ge 2.56, 4 Te 2.79

---

Entry 10:
Sm2YCd2Hg2: relaxed, GGA-PBE.

Space group ... R-3m
Spin magnetization ... 0.000 μB per cell
Crystal system ... trigonal
Formation energy ... -0.257 eV/atom
VASP energy ... -2.88 eV/atom

Cell: 4.9425 4.9425 9.4097 Å, 74.77 74.77 60.00°
With the nearest neighbours (Å) after each atom.
Positions (direct):
Y  0.0000  0.0000  0.0000  6 Hg 3.30, 2 Sm 3.37, 6 Cd 3.46
Cd  0.7392  0.7392  0.7823  3 Hg 2.87, 3 Sm 3.19
Cd  0.2608  0.2608  0.2177  3 Hg 2.87, 3 Sm 3.19
Hg  0.3949  0.3949  0.8153  3 Cd 2.87
Hg  0.6051  0.6051  0.1847  3 Cd 2.87
Sm  0.8746  0.8746  0.3763  3 Cd 3.19, 3 Hg 3.33, 1 Y 3.37
Sm  0.1254  0.1254  0.6237  3 Cd 3.19, 3 Hg 3.33, 1 Y 3.37